Entry 1:
A plane-wave DFT calculation with PBE-GGA was carried out for an optimized crystal structure of Li2MnAu.

abc: 3.8674 3.8674 8.2022
angles: 90.00 90.00 90.00
Last column: nearest neighbours and their distance in Å.
Element x y z (fractional)
1 Li 0.0000 0.5000 0.2500  4 Li 2.73, 4 Mn 2.82, 4 Au 2.82
2 Li 0.0000 0.5000 0.7500  4 Li 2.73, 4 Mn 2.82, 4 Au 2.82
3 Li 0.5000 0.0000 0.2500  4 Li 2.73, 4 Mn 2.82, 4 Au 2.82
4 Li 0.5000 0.0000 0.7500  4 Li 2.73, 4 Mn 2.82, 4 Au 2.82
5 Mn 0.0000 0.0000 0.0000  4 Au 2.73, 8 Li 2.82
6 Mn 0.5000 0.5000 0.5000  4 Au 2.73, 8 Li 2.82
7 Au 0.0000 0.0000 0.5000  4 Mn 2.73, 8 Li 2.82
8 Au 0.5000 0.5000 0.0000  4 Mn 2.73, 8 Li 2.82

***

Entry 2:
A plane-wave DFT calculation with PBE-GGA was carried out for an optimized crystal structure of Li2Mn2Au7.

abc: 6.3520 6.3520 5.1142
angles: 96.49 96.49 79.46
Last column: nearest neighbours and their distance in Å.
Element x y z (fractional)
1 Li 0.2485 0.2485 0.2424  3 Au 2.58-2.71
2 Li 0.7515 0.7515 0.7576  3 Au 2.58-2.71
3 Mn 0.3031 0.6969 0.5000  8 Au 2.71-3.02
4 Mn 0.6969 0.3031 0.5000  8 Au 2.71-3.02
5 Au 0.0286 0.0286 0.7610  4 Au 2.59-2.84, 1 Li 2.71, 2 Mn 2.79
6 Au 0.0913 0.4595 0.7540  1 Li 2.58, 1 Mn 2.71, 4 Au 2.79-2.84
7 Au 0.4595 0.0913 0.7540  1 Li 2.58, 1 Mn 2.71, 4 Au 2.79-2.84
8 Au 0.5000 0.5000 0.0000  4 Au 2.80, 2 Li 2.91, 4 Mn 3.02
9 Au 0.5405 0.9087 0.2460  1 Li 2.58, 1 Mn 2.71, 4 Au 2.79-2.84
10 Au 0.9087 0.5405 0.2460  1 Li 2.58, 1 Mn 2.71, 4 Au 2.79-2.84
11 Au 0.9714 0.9714 0.2390  4 Au 2.59-2.84, 1 Li 2.71, 2 Mn 2.79

***

Entry 3:
A plane-wave DFT calculation with PBE-GGA was carried out for an optimized crystal structure of LiMn2Au.

abc: 3.8739 3.8739 4.0065
angles: 90.00 90.00 90.00
Last column: nearest neighbours and their distance in Å.
Element x y z (fractional)
1 Li 0.0000 0.0000 0.0000  4 Au 2.74, 8 Mn 2.79
2 Mn 0.0000 0.5000 0.5000  4 Mn 2.74, 4 Li 2.79, 4 Au 2.79
3 Mn 0.5000 0.0000 0.5000  4 Mn 2.74, 4 Li 2.79, 4 Au 2.79
4 Au 0.5000 0.5000 0.0000  4 Li 2.74, 8 Mn 2.79

## Properties
Energy above the lowest structure with this stoichiometry in eV/atom: 0.066

***

Entry 4:
A plane-wave DFT calculation with PBE-GGA was carried out for an optimized crystal structure of LiMn2Au.

abc: 2.8875 2.8875 27.3101
angles: 90.00 90.00 120.00
Last column: nearest neighbours and their distance in Å.
Element x y z (fractional)
1 Li 0.0000 0.0000 0.0000  6 Mn 2.84, 6 Li 2.89
2 Li 0.3333 0.6667 0.6667  6 Mn 2.84, 6 Li 2.89
3 Li 0.6667 0.3333 0.3333  6 Mn 2.84, 6 Li 2.89
4 Mn 0.0000 0.0000 0.2491  3 Au 2.80, 3 Li 2.84, 6 Mn 2.89
5 Mn 0.0000 0.0000 0.7509  3 Au 2.80, 3 Li 2.84, 6 Mn 2.89
6 Mn 0.3333 0.6667 0.4176  3 Au 2.80, 3 Li 2.84, 6 Mn 2.89
7 Mn 0.3333 0.6667 0.9158  3 Au 2.80, 3 Li 2.84, 6 Mn 2.89
8 Mn 0.6667 0.3333 0.0842  3 Au 2.80, 3 Li 2.84, 6 Mn 2.89
9 Mn 0.6667 0.3333 0.5824  3 Au 2.80, 3 Li 2.84, 6 Mn 2.89
10 Au 0.0000 0.0000 0.5000  6 Mn 2.80, 6 Au 2.89
11 Au 0.3333 0.6667 0.1667  6 Mn 2.80, 6 Au 2.89
12 Au 0.6667 0.3333 0.8333  6 Mn 2.80, 6 Au 2.89

## Properties
Energy above the lowest structure with this stoichiometry in eV/atom: 0.309

***

Entry 5:
A plane-wave DFT calculation with PBE-GGA was carried out for an optimized crystal structure of Li2MnAu.

abc: 5.4580 8.0403 2.8076
angles: 90.00 90.00 90.00
Last column: nearest neighbours and their distance in Å.
Element x y z (fractional)
1 Li 0.2500 0.2500 0.0000  4 Li 2.73-2.81, 4 Mn 2.81, 4 Au 2.81
2 Li 0.2500 0.7500 0.0000  4 Li 2.73-2.81, 4 Mn 2.81, 4 Au 2.81
3 Li 0.7500 0.2500 0.0000  4 Li 2.73-2.81, 4 Au 2.81, 4 Mn 2.81
4 Li 0.7500 0.7500 0.0000  4 Li 2.73-2.81, 4 Mn 2.81, 4 Au 2.81
5 Mn 0.0000 0.0000 0.5000  2 Au 2.73, 8 Li 2.81, 2 Mn 2.81
6 Mn 0.5000 0.5000 0.5000  2 Au 2.73, 8 Li 2.81, 2 Mn 2.81
7 Au 0.0000 0.5000 0.5000  2 Mn 2.73, 8 Li 2.81, 2 Au 2.81
8 Au 0.5000 0.0000 0.5000  2 Mn 2.73, 8 Li 2.81, 2 Au 2.81

***

Entry 6:
A plane-wave DFT calculation with PBE-GGA was carried out for an optimized crystal structure of LiMn2Au.

abc: 2.7658 4.5316 4.9486
angles: 90.00 97.77 90.00
Last column: nearest neighbours and their distance in Å.
Element x y z (fractional)
1 Li 0.0000 0.0000 0.0000  2 Au 2.67, 4 Mn 2.69, 2 Li 2.77
2 Mn 0.2275 0.5000 0.7539  5 Mn 2.65-2.89, 2 Li 2.69, 2 Au 2.75
3 Mn 0.7725 0.5000 0.2461  5 Mn 2.65-2.89, 2 Li 2.69, 2 Au 2.75
4 Au 0.5000 0.0000 0.5000  2 Li 2.67, 4 Mn 2.75, 2 Au 2.77

## Properties
Energy above the lowest structure with this stoichiometry in eV/atom: 0.159

***

no.,total moment (μB per formula unit),V (A^3/atom),ΔE_f (eV/f.u.)
1,3.976,15.33,-0.53
2,8.782,18.24,-0.86
3,7.502,15.03,0.31
4,7.709,16.43,1.28
5,3.872,15.40,-0.15
6,7.476,15.36,0.68